# PBE YGaPt, optimized geometry
# Crystal system: orthorhombic
# Formation energy from the elements in meV/atom: -1115
# Size of the total moment in μB/atom: 0.000
data_YGaPt
_cell_length_a 6.916
_cell_length_b 4.453
_cell_length_c 7.712
_cell_angle_alpha 90.00
_cell_angle_beta 90.00
_cell_angle_gamma 90.00
_symmetry_space_group_name_H-M 'P n m a'
_symmetry_Int_Tables_number 62
loop_
_symmetry_equiv_pos_as_xyz
'x,y,z'
'-x,-y,-z'
'-x+1/2,-y,z+1/2'
'x+1/2,y,-z+1/2'
'x+1/2,-y+1/2,-z+1/2'
'-x+1/2,y+1/2,z+1/2'
'-x,y+1/2,-z'
'x,-y+1/2,z'
loop_
_atom_site_label
_atom_site_type_symbol
_atom_site_fract_x
_atom_site_fract_y
_atom_site_fract_z
Y1 Y 0.013 0.250 0.200
Ga1 Ga 0.175 0.250 0.576
Pt1 Pt 0.224 0.750 0.404

# PBE Cs2MgH4, optimized geometry
# Energy above the most stable polymorph in this dataset in eV per atom: 0.027
# Crystal system: monoclinic
# Size of the total moment in μB/atom: 0.000
data_Cs2MgH4
_cell_length_a 6.108
_cell_length_b 6.555
_cell_length_c 8.620
_cell_angle_alpha 90.00
_cell_angle_beta 108.12
_cell_angle_gamma 90.00
_symmetry_space_group_name_H-M 'P 1 21/m 1'
_symmetry_Int_Tables_number 11
loop_
_symmetry_equiv_pos_as_xyz
'x,y,z'
'-x,-y,-z'
'-x,y+1/2,-z'
'x,-y+1/2,z'
loop_
_atom_site_label
_atom_site_type_symbol
_atom_site_fract_x
_atom_site_fract_y
_atom_site_fract_z
Cs1 Cs 0.160 0.250 0.116
Cs2 Cs 0.196 0.750 0.495
Mg1 Mg 0.392 0.250 0.751
H1 H 0.237 0.024 0.796
H2 H 0.291 0.750 0.171
H3 H 0.313 0.250 0.518

# PBE ZrPt5Rh2, optimized geometry
# Crystal system: monoclinic
# Formation energy from the elements in meV/atom: -302
# Size of the total moment in μB/atom: 0.000
data_ZrPt5Rh2
_cell_length_a 5.305
_cell_length_b 7.928
_cell_length_c 13.000
_cell_angle_alpha 90.00
_cell_angle_beta 98.92
_cell_angle_gamma 90.00
_symmetry_space_group_name_H-M 'C 1 2/c 1'
_symmetry_Int_Tables_number 15
loop_
_symmetry_equiv_pos_as_xyz
'x,y,z'
'-x,-y,-z'
'-x,y,-z+1/2'
'x,-y,z+1/2'
'x+1/2,y+1/2,z'
'-x+1/2,-y+1/2,-z'
'-x+1/2,y+1/2,-z+1/2'
'x+1/2,-y+1/2,z+1/2'
loop_
_atom_site_label
_atom_site_type_symbol
_atom_site_fract_x
_atom_site_fract_y
_atom_site_fract_z
Zr1 Zr 0.000 0.035 0.250
Pt1 Pt 0.000 0.305 0.750
Pt2 Pt 0.081 0.372 0.348
Pt3 Pt 0.144 0.122 0.057
Rh1 Rh 0.142 0.380 0.555

# PBE KCdIn, optimized geometry
# Energy above the most stable polymorph in this dataset in eV per atom: 0.052
# Crystal system: orthorhombic
# Formation energy from the elements in meV/atom: -73
# Size of the total moment in μB/atom: 0.000
data_KCdIn
_cell_length_a 5.285
_cell_length_b 5.847
_cell_length_c 12.727
_cell_angle_alpha 90.00
_cell_angle_beta 90.00
_cell_angle_gamma 90.00
_symmetry_space_group_name_H-M 'A m a 2'
_symmetry_Int_Tables_number 40
loop_
_symmetry_equiv_pos_as_xyz
'x,y,z'
'-x,-y,z'
'-x+1/2,y,z'
'x+1/2,-y,z'
'x,y+1/2,z+1/2'
'-x,-y+1/2,z+1/2'
'-x+1/2,y+1/2,z+1/2'
'x+1/2,-y+1/2,z+1/2'
loop_
_atom_site_label
_atom_site_type_symbol
_atom_site_fract_x
_atom_site_fract_y
_atom_site_fract_z
K1 K 0.250 0.219 0.000
Cd1 Cd 0.250 0.142 0.703
In1 In 0.250 0.147 0.297

# PBE Tb2NiCl, optimized geometry
# Energy above the most stable polymorph in this dataset in eV per atom: 0.000
# Energy relative to the elements, uncorrected in eV/atom: -0.927
# Crystal system: trigonal
# Size of the total moment in μB/atom: 0.000
data_Tb2NiCl
_cell_length_a 3.9150
_cell_length_b 3.9150
_cell_length_c 21.8387
_cell_angle_alpha 90.00
_cell_angle_beta 90.00
_cell_angle_gamma 120.00
_symmetry_space_group_name_H-M 'R -3 m'
_symmetry_Int_Tables_number 166
_symmetry_space_group_name_Hall '-R 3 2"'
loop_
_atom_site_label
_atom_site_type_symbol
_atom_site_fract_x
_atom_site_fract_y
_atom_site_fract_z
Tb1 Tb 0.0000 0.0000 0.2335
Ni1 Ni 0.0000 0.0000 0.5000
Cl1 Cl 0.0000 0.0000 0.0000

# PBE Fe2ReSe, optimized geometry
# Energy relative to the elements, uncorrected in eV/atom: 0.418
# Crystal system: orthorhombic
# Size of the total moment in μB/atom: 0.906
data_Fe2ReSe
_cell_length_a 2.918
_cell_length_b 4.300
_cell_length_c 8.456
_cell_angle_alpha 90.00
_cell_angle_beta 90.00
_cell_angle_gamma 90.00
_symmetry_space_group_name_H-M 'I m m m'
_symmetry_Int_Tables_number 71
_symmetry_space_group_name_Hall '-I 2 2'
loop_
_atom_site_label
_atom_site_type_symbol
_atom_site_fract_x
_atom_site_fract_y
_atom_site_fract_z
Fe1 Fe 0.000 0.000 0.232
Re1 Re 0.000 0.500 0.000
Se1 Se 0.000 0.500 0.500

# PBE Sm2Er3In, optimized geometry
# Energy above the most stable polymorph in this dataset in eV per atom: 0.253
# Crystal system: orthorhombic
# Formation energy from the elements in meV/atom: 102
# Size of the total moment in μB/atom: 0.000
data_Sm2Er3In
_cell_length_a 3.421
_cell_length_b 17.360
_cell_length_c 6.421
_cell_angle_alpha 90.00
_cell_angle_beta 90.00
_cell_angle_gamma 90.00
_symmetry_space_group_name_H-M 'I m m 2'
_symmetry_Int_Tables_number 44
loop_
_symmetry_equiv_pos_as_xyz
'x,y,z'
'-x,-y,z'
'-x,y,z'
'x,-y,z'
'x+1/2,y+1/2,z+1/2'
'-x+1/2,-y+1/2,z+1/2'
'-x+1/2,y+1/2,z+1/2'
'x+1/2,-y+1/2,z+1/2'
loop_
_atom_site_label
_atom_site_type_symbol
_atom_site_fract_x
_atom_site_fract_y
_atom_site_fract_z
Sm1 Sm 0.000 0.188 0.000
Er1 Er 0.000 0.137 0.494
Er2 Er 0.000 0.500 0.705
In1 In 0.000 0.000 0.783

# PBE CaDy2UAs4, optimized geometry
# Crystal system: monoclinic
# Formation energy from the elements in meV/atom: -1234
# Size of the total moment in μB/atom: 0.235
data_CaDy2UAs4
_cell_length_a 7.151
_cell_length_b 4.128
_cell_length_c 7.152
_cell_angle_alpha 90.00
_cell_angle_beta 108.97
_cell_angle_gamma 90.00
_symmetry_space_group_name_H-M 'P 1 2/m 1'
_symmetry_Int_Tables_number 10
loop_
_symmetry_equiv_pos_as_xyz
'x,y,z'
'-x,-y,-z'
'-x,y,-z'
'x,-y,z'
loop_
_atom_site_label
_atom_site_type_symbol
_atom_site_fract_x
_atom_site_fract_y
_atom_site_fract_z
Ca1 Ca 0.000 0.000 0.000
Dy1 Dy 0.000 0.500 0.500
Dy2 Dy 0.500 0.000 0.500
U1 U 0.500 0.500 0.000
As1 As 0.256 0.000 0.751
As2 As 0.261 0.500 0.250

# PBE UTcTe2, optimized geometry
# Energy relative to the elements, uncorrected in eV/atom: 0.552
# Crystal system: trigonal
# Size of the total moment in μB/atom: 1.651
data_UTcTe2
_cell_length_a 3.8411
_cell_length_b 3.8411
_cell_length_c 28.6643
_cell_angle_alpha 90.00
_cell_angle_beta 90.00
_cell_angle_gamma 120.00
_symmetry_space_group_name_H-M 'R -3 m'
_symmetry_Int_Tables_number 166
_symmetry_space_group_name_Hall '-R 3 2"'
loop_
_atom_site_label
_atom_site_type_symbol
_atom_site_fract_x
_atom_site_fract_y
_atom_site_fract_z
U1 U 0.0000 0.0000 0.0000
Tc1 Tc 0.0000 0.0000 0.5000
Te1 Te 0.0000 0.0000 0.4071

# PBE CaMg2AlCu, optimized geometry
# Crystal system: tetragonal
# Formation energy from the elements in meV/atom: -41
# Size of the total moment in μB/atom: 0.000
data_CaMg2AlCu
_cell_length_a 4.941
_cell_length_b 4.941
_cell_length_c 4.710
_cell_angle_alpha 90.00
_cell_angle_beta 90.00
_cell_angle_gamma 90.00
_symmetry_space_group_name_H-M 'P 4/m m m'
_symmetry_Int_Tables_number 123
_symmetry_space_group_name_Hall '-P 4 2'
loop_
_atom_site_label
_atom_site_type_symbol
_atom_site_fract_x
_atom_site_fract_y
_atom_site_fract_z
Ca1 Ca 0.000 0.000 0.000
Mg1 Mg 0.000 0.500 0.500
Al1 Al 0.500 0.500 0.000
Cu1 Cu 0.500 0.500 0.500

# PBE SrHfMn2Tc, optimized geometry
# Crystal system: tetragonal
# Formation energy from the elements in meV/atom: 636
# Size of the total moment in μB/atom: 1.505
data_SrHfMn2Tc
_cell_length_a 5.027
_cell_length_b 5.027
_cell_length_c 4.872
_cell_angle_alpha 90.00
_cell_angle_beta 90.00
_cell_angle_gamma 90.00
_symmetry_space_group_name_H-M 'P 4/m m m'
_symmetry_Int_Tables_number 123
_symmetry_space_group_name_Hall '-P 4 2'
loop_
_atom_site_label
_atom_site_type_symbol
_atom_site_fract_x
_atom_site_fract_y
_atom_site_fract_z
Sr1 Sr 0.000 0.000 0.000
Hf1 Hf 0.500 0.500 0.000
Mn1 Mn 0.000 0.500 0.500
Tc1 Tc 0.500 0.500 0.500

# PBE La2Pm12Ho, optimized geometry
# Crystal system: tetragonal
# Formation energy from the elements in meV/atom: 304
# Size of the total moment in μB/atom: 0.000
data_La2Pm12Ho
_cell_length_a 6.594
_cell_length_b 6.594
_cell_length_c 25.440
_cell_angle_alpha 90.00
_cell_angle_beta 90.00
_cell_angle_gamma 90.00
_symmetry_space_group_name_H-M 'P 4/n b m'
_symmetry_Int_Tables_number 125
loop_
_symmetry_equiv_pos_as_xyz
'x,y,z'
'-x,-y,-z'
'-y+1/2,x,z'
'y+1/2,-x,-z'
'-x+1/2,-y+1/2,z'
'x+1/2,y+1/2,-z'
'y,-x+1/2,z'
'-y,x+1/2,-z'
'x,-y+1/2,-z'
'-x,y+1/2,z'
'-y+1/2,-x+1/2,-z'
'y+1/2,x+1/2,z'
'-x+1/2,y,-z'
'x+1/2,-y,z'
'y,x,-z'
'-y,-x,z'
loop_
_atom_site_label
_atom_site_type_symbol
_atom_site_fract_x
_atom_site_fract_y
_atom_site_fract_z
La1 La 0.250 0.750 0.235
Pm1 Pm 0.062 0.562 0.387
Pm2 Pm 0.082 0.582 0.938
Pm3 Pm 0.250 0.250 0.162
Pm4 Pm 0.250 0.250 0.286
Ho1 Ho 0.250 0.750 0.500

# PBE DyScPd, optimized geometry
# Energy above the most stable polymorph in this dataset in eV per atom: 0.176
# Crystal system: cubic
# Formation energy from the elements in meV/atom: -450
# Size of the total moment in μB/atom: 0.000
data_DyScPd
_cell_length_a 6.706
_cell_length_b 6.706
_cell_length_c 6.706
_cell_angle_alpha 90.00
_cell_angle_beta 90.00
_cell_angle_gamma 90.00
_symmetry_space_group_name_H-M 'F -4 3 m'
_symmetry_Int_Tables_number 216
_symmetry_space_group_name_Hall 'F -4 2 3'
loop_
_atom_site_label
_atom_site_type_symbol
_atom_site_fract_x
_atom_site_fract_y
_atom_site_fract_z
Dy1 Dy 0.000 0.000 0.000
Sc1 Sc 0.000 0.000 0.500
Pd1 Pd 0.250 0.250 0.250

# PBE Ti4NbSb2, optimized geometry
# Energy above the most stable polymorph in this dataset in eV per atom: 0.543
# Energy relative to the elements, uncorrected in eV/atom: 0.416
# Crystal system: tetragonal
# Size of the total moment in μB/atom: 0.301
data_Ti4NbSb2
_cell_length_a 4.662
_cell_length_b 4.662
_cell_length_c 14.479
_cell_angle_alpha 90.00
_cell_angle_beta 90.00
_cell_angle_gamma 90.00
_symmetry_space_group_name_H-M 'I 4/m m m'
_symmetry_Int_Tables_number 139
_symmetry_space_group_name_Hall '-I 4 2'
loop_
_atom_site_label
_atom_site_type_symbol
_atom_site_fract_x
_atom_site_fract_y
_atom_site_fract_z
Ti1 Ti 0.000 0.000 0.175
Ti2 Ti 0.000 0.500 0.000
Nb1 Nb 0.000 0.000 0.000
Sb1 Sb 0.000 0.000 0.365

# PBE Al2Ga2Ir, optimized geometry
# Energy above the most stable polymorph in this dataset in eV per atom: 0.000
# Crystal system: tetragonal
# Formation energy from the elements in meV/atom: -34
# Size of the total moment in μB/atom: 0.000
data_Al2Ga2Ir
_cell_length_a 6.489
_cell_length_b 6.489
_cell_length_c 3.849
_cell_angle_alpha 90.00
_cell_angle_beta 90.00
_cell_angle_gamma 90.00
_symmetry_space_group_name_H-M 'P 4/m b m'
_symmetry_Int_Tables_number 127
_symmetry_space_group_name_Hall '-P 4 2ab'
loop_
_atom_site_label
_atom_site_type_symbol
_atom_site_fract_x
_atom_site_fract_y
_atom_site_fract_z
Al1 Al 0.170 0.330 0.000
Ga1 Ga 0.136 0.636 0.500
Ir1 Ir 0.000 0.000 0.500

# PBE U2CrS5, optimized geometry
# Energy above the most stable polymorph in this dataset in eV per atom: 0.126
# Energy relative to the elements, uncorrected in eV/atom: -1.080
# Crystal system: orthorhombic
# Size of the total moment in μB/atom: 1.001
data_U2CrS5
_cell_length_a 5.340
_cell_length_b 12.375
_cell_length_c 12.223
_cell_angle_alpha 90.00
_cell_angle_beta 90.00
_cell_angle_gamma 90.00
_symmetry_space_group_name_H-M 'C m c m'
_symmetry_Int_Tables_number 63
_symmetry_space_group_name_Hall '-C 2c 2'
loop_
_atom_site_label
_atom_site_type_symbol
_atom_site_fract_x
_atom_site_fract_y
_atom_site_fract_z
U1 U 0.000 0.152 0.068
Cr1 Cr 0.000 0.198 0.750
S1 S 0.000 0.053 0.622
S2 S 0.000 0.276 0.250
S3 S 0.000 0.322 0.583

# PBE PaZnNi2, optimized geometry
# Crystal system: tetragonal
# Formation energy from the elements in meV/atom: -121
# Size of the total moment in μB/atom: 0.000
data_PaZnNi2
_cell_length_a 4.517
_cell_length_b 4.517
_cell_length_c 3.134
_cell_angle_alpha 90.00
_cell_angle_beta 90.00
_cell_angle_gamma 90.00
_symmetry_space_group_name_H-M 'P 4/m m m'
_symmetry_Int_Tables_number 123
_symmetry_space_group_name_Hall '-P 4 2'
loop_
_atom_site_label
_atom_site_type_symbol
_atom_site_fract_x
_atom_site_fract_y
_atom_site_fract_z
Pa1 Pa 0.000 0.000 0.000
Zn1 Zn 0.500 0.500 0.000
Ni1 Ni 0.000 0.500 0.500

# PBE Te2AuCl, optimized geometry
# Energy relative to the elements, uncorrected in eV/atom: 0.057
# Crystal system: orthorhombic
# Size of the total moment in μB/atom: 0.000
data_Te2AuCl
_cell_length_a 3.756
_cell_length_b 6.415
_cell_length_c 9.337
_cell_angle_alpha 90.00
_cell_angle_beta 90.00
_cell_angle_gamma 90.00
_symmetry_space_group_name_H-M 'C m m 2'
_symmetry_Int_Tables_number 35
loop_
_symmetry_equiv_pos_as_xyz
'x,y,z'
'-x,-y,z'
'-x,y,z'
'x,-y,z'
'x+1/2,y+1/2,z'
'-x+1/2,-y+1/2,z'
'-x+1/2,y+1/2,z'
'x+1/2,-y+1/2,z'
loop_
_atom_site_label
_atom_site_type_symbol
_atom_site_fract_x
_atom_site_fract_y
_atom_site_fract_z
Te1 Te 0.000 0.000 0.000
Te2 Te 0.000 0.500 0.260
Au1 Au 0.000 0.000 0.469
Cl1 Cl 0.000 0.500 0.649